5
Lattice="4.646 0.000 0.000 0.000 4.646 0.000 0.000 0.000 4.646" Properties=species:S:1:pos:R:3 comment="TiOs3Pb (PBE, relaxed)" ef_ev_per_atom=1.6866 crystal_system=cubic e_above_lowest_polymorph_mev_per_atom=0 final_energy_ev_per_atom=-7.372 pbc="T T T"
Ti 0.000 0.000 0.000
Os 0.000 0.000 2.323
Os 0.000 2.323 0.000
Os 2.323 0.000 0.000
Pb 2.323 2.323 2.323